Arrangement P

# BaLiTbS3 (GGA-PBE, optimized geometry)
# Magnetic moment ... 0.00 μB/f.u.
# Calculated density ... 4.52 g/cm³
data_BaLiTbS3
_chemical_formula_sum 'Ba4 Li4 Tb4 S12'
_cell_length_a 17.221
_cell_length_b 4.088
_cell_length_c 8.585
_cell_angle_alpha 90.00
_cell_angle_beta 104.06
_cell_angle_gamma 90.00
_symmetry_space_group_name_H-M 'C 1 2/m 1'
_symmetry_Int_Tables_number 12
_symmetry_space_group_name_Hall '-C 2y'
loop_
_atom_site_label
_atom_site_type_symbol
_atom_site_fract_x
_atom_site_fract_y
_atom_site_fract_z
_atom_site_occupancy
Ba1 Ba 0.136 0.000 0.065 1
Li1 Li 0.004 0.500 0.699 1
Tb1 Tb 0.164 0.000 0.582 1
S1 S 0.000 0.000 0.500 1
S2 S 0.000 0.500 0.000 1
S3 S 0.169 0.500 0.365 1
S4 S 0.170 0.500 0.797 1


Arrangement Q

# BaLiTbS3 (GGA-PBE, optimized geometry)
# Magnetic moment ... 0.00 μB/f.u.
# Calculated density ... 4.60 g/cm³
data_BaLiTbS3
_chemical_formula_sum 'Ba4 Li4 Tb4 S12'
_cell_length_a 10.359
_cell_length_b 4.111
_cell_length_c 13.539
_cell_angle_alpha 90.00
_cell_angle_beta 90.00
_cell_angle_gamma 90.00
_symmetry_space_group_name_H-M 'P n m a'
_symmetry_Int_Tables_number 62
_symmetry_space_group_name_Hall '-P 2ac 2n'
loop_
_atom_site_label
_atom_site_type_symbol
_atom_site_fract_x
_atom_site_fract_y
_atom_site_fract_z
_atom_site_occupancy
Ba1 Ba 0.246 0.250 0.005 1
Li1 Li 0.245 0.750 0.779 1
Tb1 Tb 0.005 0.750 0.251 1
S1 S 0.056 0.750 0.880 1
S2 S 0.067 0.250 0.381 1
S3 S 0.246 0.250 0.684 1


Verdict on stability: arrangement Q comes out on top.


Arrangement P

# BaLiTmS3 (GGA-PBE, optimized geometry)
# Magnetic moment ... 0.00 μB/f.u.
# Calculated density ... 4.77 g/cm³
data_BaLiTmS3
_chemical_formula_sum 'Ba4 Li4 Tm4 S12'
_cell_length_a 17.037
_cell_length_b 4.039
_cell_length_c 8.537
_cell_angle_alpha 90.00
_cell_angle_beta 103.81
_cell_angle_gamma 90.00
_symmetry_space_group_name_H-M 'C 1 2/m 1'
_symmetry_Int_Tables_number 12
_symmetry_space_group_name_Hall '-C 2y'
loop_
_atom_site_label
_atom_site_type_symbol
_atom_site_fract_x
_atom_site_fract_y
_atom_site_fract_z
_atom_site_occupancy
Ba1 Ba 0.137 0.000 0.066 1
Li1 Li 0.006 0.500 0.698 1
Tm1 Tm 0.164 0.000 0.580 1
S1 S 0.000 0.000 0.500 1
S2 S 0.000 0.500 0.000 1
S3 S 0.169 0.500 0.793 1
S4 S 0.170 0.500 0.368 1


Arrangement Q

# BaLiTmS3 (GGA-PBE, optimized geometry)
# Magnetic moment ... 0.01 μB/f.u.
# Calculated density ... 4.86 g/cm³
data_BaLiTmS3
_chemical_formula_sum 'Ba4 Li4 Tm4 S12'
_cell_length_a 4.064
_cell_length_b 13.513
_cell_length_c 10.179
_cell_angle_alpha 90.00
_cell_angle_beta 90.00
_cell_angle_gamma 90.00
_symmetry_space_group_name_H-M 'C m c m'
_symmetry_Int_Tables_number 63
_symmetry_space_group_name_Hall '-C 2c 2'
loop_
_atom_site_label
_atom_site_type_symbol
_atom_site_fract_x
_atom_site_fract_y
_atom_site_fract_z
_atom_site_occupancy
Ba1 Ba 0.000 0.244 0.250 1
Li1 Li 0.000 0.030 0.750 1
Tm1 Tm 0.000 0.500 0.000 1
S1 S 0.000 0.130 0.558 1
S2 S 0.000 0.436 0.750 1


Verdict on stability: arrangement Q comes out on top.


Arrangement P

# BaLiTmS3 (GGA-PBE, optimized geometry)
# Magnetic moment ... 0.00 μB/f.u.
# Calculated density ... 4.65 g/cm³
data_BaLiTmS3
_chemical_formula_sum 'Ba2 Li2 Tm2 S6'
_cell_length_a 8.425
_cell_length_b 4.057
_cell_length_c 8.903
_cell_angle_alpha 90.00
_cell_angle_beta 105.95
_cell_angle_gamma 90.00
_symmetry_space_group_name_H-M 'P 1 21/m 1'
_symmetry_Int_Tables_number 11
_symmetry_space_group_name_Hall '-P 2yb'
loop_
_atom_site_label
_atom_site_type_symbol
_atom_site_fract_x
_atom_site_fract_y
_atom_site_fract_z
_atom_site_occupancy
Ba1 Ba 0.200 0.250 0.247 1
Li1 Li 0.087 0.250 0.594 1
Tm1 Tm 0.327 0.750 0.843 1
S1 S 0.118 0.250 0.868 1
S2 S 0.208 0.750 0.530 1
S3 S 0.454 0.750 0.160 1


Arrangement Q

# BaLiTmS3 (GGA-PBE, optimized geometry)
# Magnetic moment ... 0.00 μB/f.u.
# Calculated density ... 4.85 g/cm³
data_BaLiTmS3
_chemical_formula_sum 'Ba4 Li4 Tm4 S12'
_cell_length_a 10.189
_cell_length_b 4.067
_cell_length_c 13.518
_cell_angle_alpha 90.00
_cell_angle_beta 90.00
_cell_angle_gamma 90.00
_symmetry_space_group_name_H-M 'P n m a'
_symmetry_Int_Tables_number 62
_symmetry_space_group_name_Hall '-P 2ac 2n'
loop_
_atom_site_label
_atom_site_type_symbol
_atom_site_fract_x
_atom_site_fract_y
_atom_site_fract_z
_atom_site_occupancy
Ba1 Ba 0.249 0.250 0.005 1
Li1 Li 0.247 0.750 0.780 1
Tm1 Tm 0.003 0.750 0.250 1
S1 S 0.055 0.750 0.879 1
S2 S 0.061 0.250 0.379 1
S3 S 0.247 0.250 0.685 1


Verdict on stability: arrangement Q comes out on top.


Arrangement P

# BaLiSmSe3 (GGA-PBE, optimized geometry)
# Magnetic moment ... 0.00 μB/f.u.
# Calculated density ... 5.30 g/cm³
data_BaLiSmSe3
_chemical_formula_sum 'Ba4 Li4 Sm4 Se12'
_cell_length_a 10.956
_cell_length_b 4.311
_cell_length_c 14.114
_cell_angle_alpha 90.00
_cell_angle_beta 90.00
_cell_angle_gamma 90.00
_symmetry_space_group_name_H-M 'P n m a'
_symmetry_Int_Tables_number 62
_symmetry_space_group_name_Hall '-P 2ac 2n'
loop_
_atom_site_label
_atom_site_type_symbol
_atom_site_fract_x
_atom_site_fract_y
_atom_site_fract_z
_atom_site_occupancy
Ba1 Ba 0.240 0.250 0.002 1
Li1 Li 0.241 0.750 0.777 1
Sm1 Sm 0.009 0.750 0.253 1
Se1 Se 0.054 0.750 0.883 1
Se2 Se 0.074 0.250 0.386 1
Se3 Se 0.242 0.250 0.679 1


Arrangement Q

# BaLiSmSe3 (GGA-PBE, optimized geometry)
# Magnetic moment ... 0.00 μB/f.u.
# Calculated density ... 5.20 g/cm³
data_BaLiSmSe3
_chemical_formula_sum 'Ba4 Li4 Sm4 Se12'
_cell_length_a 18.163
_cell_length_b 4.300
_cell_length_c 8.967
_cell_angle_alpha 90.00
_cell_angle_beta 104.25
_cell_angle_gamma 90.00
_symmetry_space_group_name_H-M 'C 1 2/m 1'
_symmetry_Int_Tables_number 12
_symmetry_space_group_name_Hall '-C 2y'
loop_
_atom_site_label
_atom_site_type_symbol
_atom_site_fract_x
_atom_site_fract_y
_atom_site_fract_z
_atom_site_occupancy
Ba1 Ba 0.135 0.000 0.065 1
Li1 Li 0.002 0.500 0.697 1
Sm1 Sm 0.166 0.000 0.586 1
Se1 Se 0.000 0.000 0.500 1
Se2 Se 0.000 0.500 0.000 1
Se3 Se 0.167 0.500 0.361 1
Se4 Se 0.172 0.500 0.807 1


Verdict on stability: arrangement P comes out on top.


Arrangement P

# BaLiTmSe3 (GGA-PBE, optimized geometry)
# Magnetic moment ... 0.00 μB/f.u.
# Calculated density ... 5.53 g/cm³
data_BaLiTmSe3
_chemical_formula_sum 'Ba2 Li2 Tm2 Se6'
_cell_length_a 8.742
_cell_length_b 4.226
_cell_length_c 9.293
_cell_angle_alpha 90.00
_cell_angle_beta 105.94
_cell_angle_gamma 90.00
_symmetry_space_group_name_H-M 'P 1 21/m 1'
_symmetry_Int_Tables_number 11
_symmetry_space_group_name_Hall '-P 2yb'
loop_
_atom_site_label
_atom_site_type_symbol
_atom_site_fract_x
_atom_site_fract_y
_atom_site_fract_z
_atom_site_occupancy
Ba1 Ba 0.202 0.250 0.249 1
Li1 Li 0.086 0.250 0.593 1
Tm1 Tm 0.325 0.750 0.845 1
Se1 Se 0.113 0.250 0.870 1
Se2 Se 0.216 0.750 0.530 1
Se3 Se 0.454 0.750 0.162 1


Arrangement Q

# BaLiTmSe3 (GGA-PBE, optimized geometry)
# Magnetic moment ... 0.01 μB/f.u.
# Calculated density ... 5.78 g/cm³
data_BaLiTmSe3
_chemical_formula_sum 'Ba4 Li4 Tm4 Se12'
_cell_length_a 4.234
_cell_length_b 14.046
_cell_length_c 10.625
_cell_angle_alpha 90.00
_cell_angle_beta 90.00
_cell_angle_gamma 90.00
_symmetry_space_group_name_H-M 'C m c m'
_symmetry_Int_Tables_number 63
_symmetry_space_group_name_Hall '-C 2c 2'
loop_
_atom_site_label
_atom_site_type_symbol
_atom_site_fract_x
_atom_site_fract_y
_atom_site_fract_z
_atom_site_occupancy
Ba1 Ba 0.000 0.246 0.250 1
Li1 Li 0.000 0.030 0.750 1
Tm1 Tm 0.000 0.500 0.000 1
Se1 Se 0.000 0.132 0.557 1
Se2 Se 0.000 0.432 0.750 1


Verdict on stability: arrangement Q comes out on top.


Arrangement P

# BaLiTmSe3 (GGA-PBE, optimized geometry)
# Magnetic moment ... 0.00 μB/f.u.
# Calculated density ... 5.65 g/cm³
data_BaLiTmSe3
_chemical_formula_sum 'Ba4 Li4 Tm4 Se12'
_cell_length_a 17.819
_cell_length_b 4.212
_cell_length_c 8.883
_cell_angle_alpha 90.00
_cell_angle_beta 103.87
_cell_angle_gamma 90.00
_symmetry_space_group_name_H-M 'C 1 2/m 1'
_symmetry_Int_Tables_number 12
_symmetry_space_group_name_Hall '-C 2y'
loop_
_atom_site_label
_atom_site_type_symbol
_atom_site_fract_x
_atom_site_fract_y
_atom_site_fract_z
_atom_site_occupancy
Ba1 Ba 0.137 0.000 0.066 1
Li1 Li 0.007 0.500 0.699 1
Tm1 Tm 0.165 0.000 0.581 1
Se1 Se 0.000 0.000 0.500 1
Se2 Se 0.000 0.500 0.000 1
Se3 Se 0.169 0.500 0.365 1
Se4 Se 0.170 0.500 0.797 1


Arrangement Q

# BaLiTmSe3 (GGA-PBE, optimized geometry)
# Magnetic moment ... 0.00 μB/f.u.
# Calculated density ... 5.78 g/cm³
data_BaLiTmSe3
_chemical_formula_sum 'Ba4 Li4 Tm4 Se12'
_cell_length_a 10.626
_cell_length_b 4.233
_cell_length_c 14.043
_cell_angle_alpha 90.00
_cell_angle_beta 90.00
_cell_angle_gamma 90.00
_symmetry_space_group_name_H-M 'P n m a'
_symmetry_Int_Tables_number 62
_symmetry_space_group_name_Hall '-P 2ac 2n'
loop_
_atom_site_label
_atom_site_type_symbol
_atom_site_fract_x
_atom_site_fract_y
_atom_site_fract_z
_atom_site_occupancy
Ba1 Ba 0.249 0.250 0.004 1
Li1 Li 0.247 0.750 0.779 1
Tm1 Tm 0.003 0.750 0.250 1
Se1 Se 0.054 0.750 0.882 1
Se2 Se 0.059 0.250 0.382 1
Se3 Se 0.247 0.250 0.682 1


Verdict on stability: arrangement Q comes out on top.


Arrangement P

# BaLiTmTe3 (GGA-PBE, optimized geometry)
# Magnetic moment ... 0.00 μB/f.u.
# Calculated density ... 6.03 g/cm³
data_BaLiTmTe3
_chemical_formula_sum 'Ba4 Li4 Tm4 Te12'
_cell_length_a 4.513
_cell_length_b 14.934
_cell_length_c 11.377
_cell_angle_alpha 90.00
_cell_angle_beta 90.00
_cell_angle_gamma 90.00
_symmetry_space_group_name_H-M 'C m c m'
_symmetry_Int_Tables_number 63
_symmetry_space_group_name_Hall '-C 2c 2'
loop_
_atom_site_label
_atom_site_type_symbol
_atom_site_fract_x
_atom_site_fract_y
_atom_site_fract_z
_atom_site_occupancy
Ba1 Ba 0.000 0.250 0.250 1
Li1 Li 0.000 0.030 0.750 1
Tm1 Tm 0.000 0.500 0.000 1
Te1 Te 0.000 0.136 0.554 1
Te2 Te 0.000 0.428 0.750 1


Arrangement Q

# BaLiTmTe3 (GGA-PBE, optimized geometry)
# Magnetic moment ... 0.00 μB/f.u.
# Calculated density ... 5.80 g/cm³
data_BaLiTmTe3
_chemical_formula_sum 'Ba4 Li4 Tm4 Te12'
_cell_length_a 19.196
_cell_length_b 4.506
_cell_length_c 9.479
_cell_angle_alpha 90.00
_cell_angle_beta 103.54
_cell_angle_gamma 90.00
_symmetry_space_group_name_H-M 'C 1 2/m 1'
_symmetry_Int_Tables_number 12
_symmetry_space_group_name_Hall '-C 2y'
loop_
_atom_site_label
_atom_site_type_symbol
_atom_site_fract_x
_atom_site_fract_y
_atom_site_fract_z
_atom_site_occupancy
Ba1 Ba 0.137 0.000 0.067 1
Li1 Li 0.008 0.500 0.699 1
Tm1 Tm 0.165 0.000 0.582 1
Te1 Te 0.000 0.000 0.500 1
Te2 Te 0.000 0.500 0.000 1
Te3 Te 0.170 0.500 0.365 1
Te4 Te 0.173 0.500 0.802 1


Arrangement R

# BaLiTmTe3 (GGA-PBE, optimized geometry)
# Magnetic moment ... 0.00 μB/f.u.
# Calculated density ... 5.74 g/cm³
data_BaLiTmTe3
_chemical_formula_sum 'Ba2 Li2 Tm2 Te6'
_cell_length_a 9.298
_cell_length_b 4.509
_cell_length_c 9.991
_cell_angle_alpha 90.00
_cell_angle_beta 105.85
_cell_angle_gamma 90.00
_symmetry_space_group_name_H-M 'P 1 21/m 1'
_symmetry_Int_Tables_number 11
_symmetry_space_group_name_Hall '-P 2yb'
loop_
_atom_site_label
_atom_site_type_symbol
_atom_site_fract_x
_atom_site_fract_y
_atom_site_fract_z
_atom_site_occupancy
Ba1 Ba 0.201 0.250 0.249 1
Li1 Li 0.084 0.250 0.592 1
Tm1 Tm 0.324 0.750 0.844 1
Te1 Te 0.109 0.250 0.873 1
Te2 Te 0.224 0.750 0.528 1
Te3 Te 0.451 0.750 0.162 1


Verdict on stability: arrangement P comes out on top.


Arrangement P

# BaLuMo (GGA-PBE, optimized geometry)
# Magnetic moment ... 3.09 μB/f.u.
# Calculated density ... 6.97 g/cm³
data_BaLuMo
_chemical_formula_sum 'Ba4 Lu4 Mo4'
_cell_length_a 7.301
_cell_length_b 7.301
_cell_length_c 7.301
_cell_angle_alpha 90.00
_cell_angle_beta 90.00
_cell_angle_gamma 90.00
_symmetry_space_group_name_H-M 'F -4 3 m'
_symmetry_Int_Tables_number 216
_symmetry_space_group_name_Hall 'F -4 2 3'
loop_
_atom_site_label
_atom_site_type_symbol
_atom_site_fract_x
_atom_site_fract_y
_atom_site_fract_z
_atom_site_occupancy
Ba1 Ba 0.000 0.000 0.000 1
Lu1 Lu 0.250 0.250 0.750 1
Mo1 Mo 0.250 0.250 0.250 1


Arrangement Q

# BaLuMo (GGA-PBE, optimized geometry)
# Magnetic moment ... 1.11 μB/f.u.
# Calculated density ... 7.24 g/cm³
data_BaLuMo
_chemical_formula_sum 'Ba4 Lu4 Mo4'
_cell_length_a 7.207
_cell_length_b 7.207
_cell_length_c 7.207
_cell_angle_alpha 90.00
_cell_angle_beta 90.00
_cell_angle_gamma 90.00
_symmetry_space_group_name_H-M 'F -4 3 m'
_symmetry_Int_Tables_number 216
_symmetry_space_group_name_Hall 'F -4 2 3'
loop_
_atom_site_label
_atom_site_type_symbol
_atom_site_fract_x
_atom_site_fract_y
_atom_site_fract_z
_atom_site_occupancy
Ba1 Ba 0.000 0.000 0.000 1
Lu1 Lu 0.000 0.000 0.500 1
Mo1 Mo 0.250 0.250 0.250 1


Verdict on stability: arrangement Q comes out on top.